{"formula": "MnAg3F", "functional": "GGA+U", "state": "relaxed", "sg": "Pm-3m", "e_above_lowest_polymorph_ev_per_fu": 2.64, "cell": [[5.0882, 0.0000, 0.0000], [0.0000, 5.0882, 0.0000], [0.0000, 0.0000, 5.0882]], "species": ["Mn", "Ag", "Ag", "Ag", "F"], "fractional_positions": [[0.0000, 0.0000, 0.0000], [0.0000, 0.5000, 0.0000], [0.0000, 0.0000, 0.5000], [0.5000, 0.0000, 0.0000], [0.5000, 0.5000, 0.5000]]}